(1)
Below is a relaxed structure of ZrNiRh2, with properties calculated at the PBE level.

Lattice parameters (Å, degrees): 4.2632 2.8452 5.2397 75.02 90.00 90.00
Closest atoms and distances in Å follow each position.
Fractional positions:
Rh (0.0000, 0.6049, 0.5237)  2 Ni 2.52, 3 Rh 2.69-2.77
Rh (0.0000, 0.8951, 0.9763)  2 Ni 2.52, 3 Rh 2.69-2.77
Ni (0.5000, 0.7500, 0.7500)  4 Rh 2.52, 2 Zr 2.64
Zr (0.5000, 0.2500, 0.2500)  2 Ni 2.64, 2 Zr 2.85, 8 Rh 2.89-2.93

size of the total moment	0.00	μB/f.u.
space group	P2/m (10)


(2)
Below is a relaxed structure of ZrNiRh2, with properties calculated at the PBE level.

Lattice parameters (Å, degrees): 9.0494 9.0494 9.0494 17.98 17.98 17.98
Closest atoms and distances in Å follow each position.
Fractional positions:
Zr (0.4978, 0.4978, 0.4978)  3 Ni 2.81, 6 Zr 2.83, 3 Rh 2.89
Rh (0.2537, 0.2537, 0.2537)  9 Rh 2.74-2.83, 3 Zr 2.89
Rh (0.0029, 0.0029, 0.0029)  3 Ni 2.60, 9 Rh 2.74-2.83
Ni (0.7455, 0.7455, 0.7455)  3 Rh 2.60, 3 Zr 2.81, 6 Ni 2.83

size of the total moment	0.87	μB/f.u.
space group	R3m (160)


(3)
Below is a relaxed structure of ZrNiRh, with properties calculated at the PBE level.

Lattice parameters (Å, degrees): 5.5120 3.8227 3.4479 90.01 90.00 45.99
Closest atoms and distances in Å follow each position.
Fractional positions:
Zr (0.5000, 0.5000, 0.0000)  4 Ni 2.63, 4 Rh 2.75-2.76
Ni (0.0000, 0.0000, 0.5000)  4 Rh 2.57, 4 Zr 2.63
Rh (0.0000, 0.5000, 0.0000)  4 Ni 2.57, 4 Zr 2.75-2.76

size of the total moment	0.00	μB/f.u.
space group	P2/m (10)


(4)
Below is a relaxed structure of ZrNi2Rh, with properties calculated at the PBE level.

Lattice parameters (Å, degrees): 8.8970 8.8970 8.8970 18.05 18.05 18.05
Closest atoms and distances in Å follow each position.
Fractional positions:
Zr (0.7500, 0.7500, 0.7500)  6 Zr 2.79, 6 Ni 2.82
Rh (0.2500, 0.2500, 0.2500)  6 Ni 2.62, 6 Rh 2.79
Ni (0.5048, 0.5048, 0.5048)  3 Rh 2.62, 6 Ni 2.79, 3 Zr 2.82
Ni (0.9952, 0.9952, 0.9952)  3 Rh 2.62, 6 Ni 2.79, 3 Zr 2.82

size of the total moment	1.93	μB/f.u.
space group	R-3m (166)


(5)
Below is a relaxed structure of Zr2Ni15Rh2, with properties calculated at the PBE level.

Lattice parameters (Å, degrees): 6.2356 6.2356 6.2356 82.90 82.90 82.90
Closest atoms and distances in Å follow each position.
Fractional positions:
Ni (0.0000, 0.0000, 0.5000)  8 Ni 2.38-2.42, 2 Rh 2.49
Ni (0.3495, 0.3495, 0.8365)  8 Ni 2.34-2.51, 1 Rh 2.60
Ni (0.3058, 0.6942, 0.0000)  8 Ni 2.38-2.52
Ni (0.8365, 0.3495, 0.3495)  8 Ni 2.34-2.51, 1 Rh 2.60
Ni (0.0000, 0.6942, 0.3058)  8 Ni 2.38-2.52
Ni (0.0000, 0.5000, 0.0000)  8 Ni 2.38-2.42, 2 Rh 2.49
Ni (0.0000, 0.3058, 0.6942)  8 Ni 2.38-2.52
Ni (0.1635, 0.6505, 0.6505)  8 Ni 2.34-2.51, 1 Rh 2.60
Ni (0.6505, 0.6505, 0.1635)  8 Ni 2.34-2.51, 1 Rh 2.60
Ni (0.5000, 0.0000, 0.0000)  8 Ni 2.38-2.42, 2 Rh 2.49
Ni (0.6942, 0.3058, 0.0000)  8 Ni 2.38-2.52
Ni (0.3495, 0.8365, 0.3495)  8 Ni 2.34-2.51, 1 Rh 2.60
Ni (0.6505, 0.1635, 0.6505)  8 Ni 2.34-2.51, 1 Rh 2.60
Ni (0.6942, 0.0000, 0.3058)  8 Ni 2.38-2.52
Ni (0.3058, 0.0000, 0.6942)  8 Ni 2.38-2.52
Zr (0.3384, 0.3384, 0.3384)  1 Rh 2.80, 15 Ni 2.87-3.12
Zr (0.6616, 0.6616, 0.6616)  1 Rh 2.80, 15 Ni 2.87-3.12
Rh (0.1064, 0.1064, 0.1064)  6 Ni 2.49-2.60, 1 Rh 2.57
Rh (0.8936, 0.8936, 0.8936)  6 Ni 2.49-2.60, 1 Rh 2.57

size of the total moment	6.58	μB/f.u.
space group	R-3m (166)


(6)
Below is a relaxed structure of ZrNiRh4, with properties calculated at the PBE level.

Lattice parameters (Å, degrees): 5.1243 5.1243 5.1243 60.00 60.00 60.00
Closest atoms and distances in Å follow each position.
Fractional positions:
Rh (0.8767, 0.3744, 0.3744)  6 Rh 2.55-2.57
Rh (0.3744, 0.3744, 0.3744)  6 Rh 2.55-2.57
Rh (0.3744, 0.8767, 0.3744)  6 Rh 2.55-2.57
Rh (0.3744, 0.3744, 0.8767)  6 Rh 2.55-2.57
Zr (0.7500, 0.7500, 0.7500)  12 Rh 3.01, 4 Ni 3.14
Ni (0.0000, 0.0000, 0.0000)  12 Rh 3.00, 4 Zr 3.14

size of the total moment	1.56	μB/f.u.
space group	F-43m (216)


(7)
Below is a relaxed structure of ZrNiRh, with properties calculated at the PBE level.

Lattice parameters (Å, degrees): 4.2791 4.2791 4.2791 60.00 60.00 60.00
Closest atoms and distances in Å follow each position.
Fractional positions:
Ni (0.0000, 0.0000, 0.0000)  4 Zr 2.62
Rh (0.5000, 0.5000, 0.5000)  4 Zr 2.62
Zr (0.7500, 0.7500, 0.7500)  4 Ni 2.62, 4 Rh 2.62

size of the total moment	0.00	μB/f.u.
space group	F-43m (216)


(8)
Below is a relaxed structure of ZrNiRh, with properties calculated at the PBE level.

Lattice parameters (Å, degrees): 3.6544 6.7411 11.5664 90.00 90.00 90.00
Closest atoms and distances in Å follow each position.
Fractional positions:
Ni (0.5000, 0.9395, 0.5931)  1 Ni 2.30, 2 Rh 2.50-2.58
Ni (0.5000, 0.0605, 0.4069)  1 Ni 2.30, 2 Rh 2.50-2.58
Ni (0.0000, 0.5587, 0.2500)  6 Rh 2.47-2.50, 3 Zr 2.62
Ni (0.5000, 0.9395, 0.9069)  1 Ni 2.30, 2 Rh 2.50-2.58
Ni (0.0000, 0.4413, 0.7500)  6 Rh 2.47-2.50, 3 Zr 2.62
Ni (0.5000, 0.0605, 0.0931)  1 Ni 2.30, 2 Rh 2.50-2.58
Rh (0.5000, 0.8049, 0.2500)  4 Ni 2.47-2.50
Rh (0.5000, 0.5598, 0.8802)  3 Ni 2.50-2.58
Rh (0.5000, 0.5598, 0.6198)  3 Ni 2.50-2.58
Rh (0.5000, 0.4402, 0.1198)  3 Ni 2.50-2.58
Rh (0.5000, 0.4402, 0.3802)  3 Ni 2.50-2.58
Rh (0.5000, 0.1951, 0.7500)  4 Ni 2.47-2.50
Zr (0.0000, 0.2573, 0.9499)  5 Ni 2.62-2.86, 2 Rh 2.85
Zr (0.0000, 0.1695, 0.2500)  5 Ni 2.62-2.68
Zr (0.0000, 0.7427, 0.0501)  5 Ni 2.62-2.86, 2 Rh 2.85
Zr (0.0000, 0.7427, 0.4499)  5 Ni 2.62-2.86, 2 Rh 2.85
Zr (0.0000, 0.2573, 0.5501)  5 Ni 2.62-2.86, 2 Rh 2.85
Zr (0.0000, 0.8305, 0.7500)  5 Ni 2.62-2.68

size of the total moment	0.00	μB/f.u.
space group	Pmma (51)


(9)
Below is a relaxed structure of ZrNiRh2, with properties calculated at the PBE level.

Lattice parameters (Å, degrees): 4.7023 4.7023 4.7023 129.40 129.37 74.39
Closest atoms and distances in Å follow each position.
Fractional positions:
Zr (0.7500, 0.2500, 0.5000)  8 Rh 2.75, 4 Ni 2.84
Rh (0.5000, 0.5000, 0.0000)  4 Ni 2.75, 4 Zr 2.75, 4 Rh 2.84
Rh (0.0000, 0.0000, 0.0000)  4 Ni 2.75, 4 Zr 2.75, 4 Rh 2.84
Ni (0.2500, 0.7500, 0.5000)  8 Rh 2.75, 4 Zr 2.84

size of the total moment	0.00	μB/f.u.
space group	I4/mmm (139)


(10)
Below is a relaxed structure of Zr3NiRh, with properties calculated at the PBE level.

Lattice parameters (Å, degrees): 4.7743 4.7743 4.7743 90.00 90.00 90.00
Closest atoms and distances in Å follow each position.
Fractional positions:
Rh (0.5000, 0.5000, 0.5000)  12 Zr 3.38
Ni (0.0000, 0.0000, 0.0000)  6 Zr 2.39
Zr (0.0000, 0.5000, 0.0000)  2 Ni 2.39
Zr (0.0000, 0.0000, 0.5000)  2 Ni 2.39
Zr (0.5000, 0.0000, 0.0000)  2 Ni 2.39

size of the total moment	0.00	μB/f.u.
space group	Pm-3m (221)


(11)
Below is a relaxed structure of ZrNiRh2, with properties calculated at the PBE level.

Lattice parameters (Å, degrees): 4.8176 4.8176 3.9093 66.08 66.08 47.87
Closest atoms and distances in Å follow each position.
Fractional positions:
Rh (0.7500, 0.7500, 0.7499)  4 Ni 2.76, 4 Zr 2.78, 4 Rh 2.78
Rh (0.0000, 0.0000, 0.0002)  4 Zr 2.76, 4 Ni 2.78, 4 Rh 2.78
Zr (0.5000, 0.5000, 0.5001)  8 Rh 2.76-2.78, 4 Ni 2.78
Ni (0.2500, 0.2500, 0.2497)  8 Rh 2.76-2.78, 4 Zr 2.78

size of the total moment	0.32	μB/f.u.
space group	I-4m2 (119)


(12)
Below is a relaxed structure of ZrNi2Rh, with properties calculated at the PBE level.

Lattice parameters (Å, degrees): 3.2225 3.2624 5.5371 90.00 90.00 90.00
Closest atoms and distances in Å follow each position.
Fractional positions:
Rh (0.0000, 0.0000, 0.4848)  5 Ni 2.53-2.70, 4 Zr 2.75
Ni (0.5000, 0.5000, 0.2278)  4 Ni 2.54, 1 Zr 2.60, 4 Rh 2.70
Ni (0.0000, 0.0000, 0.0285)  1 Rh 2.53, 4 Ni 2.54, 4 Zr 2.74
Zr (0.5000, 0.5000, 0.7588)  5 Ni 2.60-2.74, 4 Rh 2.75

size of the total moment	0.72	μB/f.u.
space group	Pmm2 (25)


| no. | N(E_F) (states/eV/atom) | raw total energy (eV per cell) |
| --- | --- | --- |
| 1 | 1.07 | -30.2 |
| 2 | 1.40 | -28.7 |
| 3 | 0.70 | -22.2 |
| 4 | 1.39 | -26.8 |
| 5 | 1.39 | -121.9 |
| 6 | 1.73 | -44.7 |
| 7 | 0.68 | -21.8 |
| 8 | 0.79 | -139.9 |
| 9 | 1.41 | -31.0 |
| 10 | 1.55 | -37.3 |
| 11 | 1.37 | -31.0 |
| 12 | 1.22 | -28.8 |